## Li2Cr4O13 (PBE+U)

Data for a geometry-optimized Li2Cr4O13 structure.

abc: 8.2875 19.9296 8.5959
angles: 90.00 90.00 90.00
Space group C222_1 (No. 20)
Unique sites:
Li 0.2116 0.1768 0.4315 [8 per cell]
Cr 0.2077 0.0642 0.7508 [8 per cell]
Cr 0.2152 0.1584 0.0547 [8 per cell]
O 0.0000 0.0427 0.7500 [4 per cell]
O 0.0204 0.1575 0.0736 [8 per cell]
O 0.1920 0.4991 0.1941 [8 per cell]
O 0.2000 0.3462 0.7249 [8 per cell]
O 0.2288 0.2736 0.4650 [8 per cell]
O 0.2302 0.4151 0.4374 [8 per cell]
O 0.2401 0.1266 0.6351 [8 per cell]

Values from the calculation:
The value obtained for the total energy is -6.45 eV/atom. The calculation puts the total moment at 0.00 μB/f.u.